The following is a PBE calculation of a relaxed Tb5NiTe2 crystal, from Alexandria.

Cell lengths 8.0176, 12.3520, 4.3558 Å; angles 90.00, 90.00, 90.00 degrees
With the nearest neighbours (Å) after each atom.
Space group Pbam (No. 55)
Asymmetric unit:
Tb1 0.0000 0.0000 0.0000 x2  4 Te 3.13, 4 Tb 3.45
Tb2 0.1389 0.3050 0.0000 x4  1 Ni 2.65
Tb3 0.1818 0.5654 0.5000 x4  2 Ni 2.74
Ni1 0.0000 0.5000 0.0000 x2  6 Tb 2.65-2.74
Te1 0.0700 0.8243 0.5000 x4  8 Tb 3.13-3.40

**Uncorrected formation energy**: -0.750 eV/atom



The following is a PBE calculation of a relaxed Tb2NiTe crystal, from Alexandria.

Cell lengths 4.0549, 4.0549, 21.9025 Å; angles 90.00, 90.00, 120.00 degrees
With the nearest neighbours (Å) after each atom.
Space group R-3m (No. 166, hexagonal axes)
Asymmetric unit:
Tb1 0.0000 0.0000 0.2359 x6  3 Ni 2.79
Ni1 0.0000 0.0000 0.5000 x3  6 Tb 2.79
Te1 0.0000 0.0000 0.0000 x3  6 Tb 3.17

**Uncorrected formation energy**: -0.800 eV/atom



The following is a PBE calculation of a relaxed TbTh2Ni9 crystal, from Alexandria.

Cell lengths 4.9942, 4.9942, 24.9709 Å; angles 90.00, 90.00, 120.00 degrees
With the nearest neighbours (Å) after each atom.
Space group R-3m (No. 166, hexagonal axes)
Asymmetric unit:
Tb1 0.0000 0.0000 0.0000 x3  18 Ni 2.88-3.22
Th1 0.0000 0.0000 0.1359 x6  9 Ni 2.85-2.98
Ni1 0.0000 0.0000 0.3331 x6  6 Ni 2.48-2.50
Ni2 0.0000 0.0000 0.5000 x3  6 Ni 2.58
Ni3 0.0011 0.5005 0.9188 x18  7 Ni 2.48-2.58

**Calculated formation energy**: -406 meV/atom



The following is a PBE calculation of a relaxed TbThNi4 crystal, from Alexandria.

Cell lengths 7.2576, 7.2576, 7.2576 Å; angles 90.00, 90.00, 90.00 degrees
With the nearest neighbours (Å) after each atom.
Space group F-43m (No. 216)
Asymmetric unit:
Tb1 0.0000 0.0000 0.0000 x4  12 Ni 3.01, 4 Th 3.14
Th1 0.2500 0.2500 0.2500 x4  12 Ni 3.01, 4 Tb 3.14
Ni1 0.1253 0.1253 0.6253 x16  6 Ni 2.56-2.57

**Calculated formation energy**: -390 meV/atom



The following is a PBE calculation of a relaxed TbTh2Ni2 crystal, from Alexandria.

Cell lengths 3.6849, 6.0761, 6.2430 Å; angles 64.65, 72.91, 72.35 degrees
With the nearest neighbours (Å) after each atom.
Space group P-1 (No. 2)
Asymmetric unit:
Tb1 0.0000 0.0000 0.0000 x1  4 Ni 2.76
Th1 0.1905 0.3206 0.2994 x2  4 Ni 2.84-2.96
Ni1 0.4822 0.7077 0.3284 x2  1 Ni 2.51, 2 Tb 2.76

**Calculated formation energy**: -298 meV/atom



The following is a PBE calculation of a relaxed TbThNi4 crystal, from Alexandria.

Cell lengths 3.7246, 4.0699, 7.0678 Å; angles 90.00, 90.00, 90.00 degrees
With the nearest neighbours (Å) after each atom.
Space group Pmmm (No. 47)
Asymmetric unit:
Tb1 0.0000 0.0000 0.0000 x1  12 Ni 2.99
Th1 0.0000 0.5000 0.5000 x1  12 Ni 3.00-3.01
Ni1 0.5000 0.0000 0.3314 x2  3 Ni 2.35-2.38
Ni2 0.5000 0.5000 0.1648 x2  3 Ni 2.33-2.35

**Calculated formation energy**: -408 meV/atom



The following is a PBE calculation of a relaxed TbTh3Ni8 crystal, from Alexandria.

Cell lengths 5.1598, 5.1598, 25.2547 Å; angles 90.00, 90.00, 120.00 degrees
With the nearest neighbours (Å) after each atom.
Space group R3m (No. 160, hexagonal axes)
Asymmetric unit:
Tb1 0.0000 0.0000 0.0000 x3  12 Ni 3.00-3.02, 4 Th 3.13-3.14
Th1 0.0000 0.0000 0.3731 x3  12 Ni 2.97-3.04, 3 Tb 3.14, 1 Th 3.21
Th2 0.0000 0.0000 0.5001 x3  12 Ni 3.02-3.04, 4 Th 3.17-3.21
Th3 0.0000 0.0000 0.8759 x3  12 Ni 3.02-3.07, 1 Tb 3.13, 3 Th 3.17
Ni1 0.0000 0.0000 0.1871 x3  6 Ni 2.59-2.60
Ni2 0.0000 0.0000 0.6872 x3  6 Ni 2.56-2.57
Ni3 0.0001 0.5000 0.9381 x9  6 Ni 2.56-2.60
Ni4 0.1673 0.3346 0.7699 x9  6 Ni 2.57-2.59

**Calculated formation energy**: -367 meV/atom



The following is a PBE calculation of a relaxed Tb2Th3Ni4 crystal, from Alexandria.

Cell lengths 8.0761, 7.3397, 7.0853 Å; angles 90.00, 107.90, 90.00 degrees
With the nearest neighbours (Å) after each atom.
Space group P2_1/c (No. 14)
Asymmetric unit:
Tb1 0.1866 0.1807 0.0781 x4  4 Ni 2.92-3.09
Th1 0.2259 0.6630 0.2488 x4  6 Ni 2.73-3.04
Th2 0.5000 0.0000 0.5000 x2  4 Ni 2.81-2.89
Ni1 0.0761 0.5394 0.8614 x4  1 Ni 2.68, 3 Th 2.73-2.79, 1 Tb 2.92
Ni2 0.4997 0.1259 0.8741 x4  1 Ni 2.57, 1 Th 2.81

**Calculated formation energy**: -348 meV/atom